#a
VASP calculation (PBE-GGA) on crystalline TbDyHf at its relaxed geometry.

Cell and atoms, written as POSCAR:
```
TbDyHf
1.0
5.792 -0.685 0.781
-0.444 3.111 -1.226
1.923 -4.400 11.328
Tb Dy Hf
2 2 2
Direct
0.275 0.154 0.975
0.762 0.897 0.176
0.789 0.475 0.802
0.247 0.576 0.349
0.294 0.857 0.652
0.742 0.195 0.499
```

Results
Total moment (μB/atom): 0.00
Symmetry: No. 2



#b
VASP calculation (PBE-GGA) on crystalline TbDyHf at its relaxed geometry.

Cell and atoms, written as POSCAR:
```
TbDyHf
1.0
-2.481 2.992 2.531
-2.589 -3.500 1.600
5.214 -0.987 6.276
Hf Tb Dy
2 2 2
Direct
0.000 0.000 0.000
0.500 0.500 0.000
0.000 0.500 0.713
0.500 0.000 0.287
0.000 0.500 0.285
0.500 0.000 0.715
```

Results
Total moment (μB/atom): 0.00
Symmetry: No. 129



#a comes first in stability; the runner-up is 0.099 eV/atom higher.



#a
VASP calculation (PBE-GGA) on crystalline DyHfTe4 at its relaxed geometry.

Cell and atoms, written as POSCAR:
```
DyHfTe4
1.0
-0.815 1.720 -3.652
-7.763 0.206 1.830
-2.379 5.973 3.344
Dy Hf Te
1 1 4
Direct
0.000 0.000 0.000
0.500 0.000 0.500
0.000 0.757 0.772
0.500 0.250 0.691
0.500 0.750 0.309
0.000 0.243 0.228
```

Results
Total moment (μB/atom): 0.00
Symmetry: No. 10



#b
VASP calculation (PBE-GGA) on crystalline DyHfTe4 at its relaxed geometry.

Cell and atoms, written as POSCAR:
```
DyHfTe4
1.0
7.282 0.000 0.196
0.000 7.344 0.000
0.090 0.000 7.251
Dy Hf Te
2 2 8
Direct
0.500 0.000 0.500
0.000 0.500 0.500
0.000 0.000 0.000
0.500 0.500 0.000
0.839 0.652 0.129
0.661 0.152 0.871
0.384 0.369 0.356
0.116 0.869 0.644
0.161 0.348 0.871
0.339 0.848 0.129
0.616 0.631 0.644
0.884 0.131 0.356
```

Results
Total moment (μB/atom): 0.00
Symmetry: No. 14



#a comes first in stability; the runner-up is 0.150 eV/atom higher.